(1)
# VNi2Bi, optimized geometry, DFT GGA-PBE
data_VNi2Bi
_chemical_formula_sum 'V4 Ni8 Bi4'
_space_group_name_H-M_alt 'I -4 2 d'
_space_group_IT_number 122
_space_group_name_Hall 'I -4 2bw'
_cell_length_a 4.009
_cell_length_b 4.009
_cell_length_c 16.988
_cell_angle_alpha 90.00
_cell_angle_beta 90.00
_cell_angle_gamma 90.00
loop_
_atom_site_label
_atom_site_fract_x
_atom_site_fract_y
_atom_site_fract_z
_atom_site_occupancy
V1 0.000 0.000 0.000 1
Ni1 0.191 0.250 0.125 1
Bi1 0.000 0.000 0.500 1
# * E_form: 0.53 eV per atom
# * V: 17.1 Å³/atom
# * D(E_F): 19.5 states/eV per cell


(2)
# CsNiI5, optimized geometry, DFT GGA-PBE
data_CsNiI5
_chemical_formula_sum 'Cs2 Ni2 I10'
_space_group_name_H-M_alt 'I m m 2'
_space_group_IT_number 44
_space_group_name_Hall 'I 2 -2'
_cell_length_a 8.363
_cell_length_b 8.704
_cell_length_c 8.600
_cell_angle_alpha 90.00
_cell_angle_beta 90.00
_cell_angle_gamma 90.00
loop_
_atom_site_label
_atom_site_fract_x
_atom_site_fract_y
_atom_site_fract_z
_atom_site_occupancy
Cs1 0.000 0.000 0.000 1
Ni1 0.000 0.500 0.384 1
I1 0.000 0.207 0.397 1
I2 0.000 0.500 0.683 1
I3 0.203 0.500 0.157 1
# * formation energy (no corrections): -0.378 eV/atom
# * V: 44.7 Å³/atom
# * D(E_F): 9.5 states/eV per cell


(3)
# Zr2AlTc2, optimized geometry, DFT GGA-PBE
data_Zr2AlTc2
_chemical_formula_sum 'Zr4 Al2 Tc4'
_space_group_name_H-M_alt 'P 4/m b m'
_space_group_IT_number 127
_space_group_name_Hall '-P 4 2ab'
_cell_length_a 6.660
_cell_length_b 6.660
_cell_length_c 4.200
_cell_angle_alpha 90.00
_cell_angle_beta 90.00
_cell_angle_gamma 90.00
loop_
_atom_site_label
_atom_site_fract_x
_atom_site_fract_y
_atom_site_fract_z
_atom_site_occupancy
Zr1 0.183 0.317 0.000 1
Al1 0.000 0.000 0.500 1
Tc1 0.129 0.629 0.500 1
# * E_form: -0.22 eV per atom
# * V: 18.6 Å³/atom
# * D(E_F): 9.3 states/eV per cell


(4)
# Pm2Ga4Ag5, optimized geometry, DFT GGA-PBE
data_Pm2Ga4Ag5
_chemical_formula_sum 'Pm4 Ga8 Ag10'
_space_group_name_H-M_alt 'C 1 2/m 1'
_space_group_IT_number 12
_space_group_name_Hall '-C 2y'
_cell_length_a 12.110
_cell_length_b 5.922
_cell_length_c 8.541
_cell_angle_alpha 90.00
_cell_angle_beta 132.25
_cell_angle_gamma 90.00
loop_
_atom_site_label
_atom_site_fract_x
_atom_site_fract_y
_atom_site_fract_z
_atom_site_occupancy
Pm1 0.209 0.000 0.252 1
Ga1 0.222 0.000 0.615 1
Ga2 0.241 0.500 0.047 1
Ag1 0.000 0.500 0.000 1
Ag2 0.008 0.258 0.692 1
# * E_form: -0.23 eV per atom
# * V: 20.6 Å³/atom
# * D(E_F): 12.0 states/eV per cell


(5)
# RbV2P, optimized geometry, DFT GGA-PBE
data_RbV2P
_chemical_formula_sum 'Rb4 V8 P4'
_space_group_name_H-M_alt 'I -4 2 d'
_space_group_IT_number 122
_space_group_name_Hall 'I -4 2bw'
_cell_length_a 4.720
_cell_length_b 4.720
_cell_length_c 17.274
_cell_angle_alpha 90.00
_cell_angle_beta 90.00
_cell_angle_gamma 90.00
loop_
_atom_site_label
_atom_site_fract_x
_atom_site_fract_y
_atom_site_fract_z
_atom_site_occupancy
Rb1 0.000 0.000 0.000 1
V1 0.002 0.750 0.625 1
P1 0.000 0.000 0.500 1
# * E_form: 0.74 eV per atom
# * V: 24.0 Å³/atom
# * D(E_F): 21.3 states/eV per cell


(6)
# SrFe3Co, optimized geometry, DFT GGA-PBE
data_SrFe3Co
_chemical_formula_sum 'Sr1 Fe3 Co1'
_space_group_name_H-M_alt 'P m -3 m'
_space_group_IT_number 221
_space_group_name_Hall '-P 4 2 3'
_cell_length_a 4.543
_cell_length_b 4.543
_cell_length_c 4.543
_cell_angle_alpha 90.00
_cell_angle_beta 90.00
_cell_angle_gamma 90.00
loop_
_atom_site_label
_atom_site_fract_x
_atom_site_fract_y
_atom_site_fract_z
_atom_site_occupancy
Sr1 0.000 0.000 0.000 1
Fe1 0.000 0.500 0.500 1
Co1 0.500 0.500 0.500 1
# * E_form: 0.65 eV per atom
# * V: 18.8 Å³/atom
# * D(E_F): 5.3 states/eV per cell
# * polymorph energy (0 for the lowest one): 0.0 meV per atom


(7)
# YMg2Rh, optimized geometry, DFT GGA-PBE
data_YMg2Rh
_chemical_formula_sum 'Y2 Mg4 Rh2'
_space_group_name_H-M_alt 'C 1 2/m 1'
_space_group_IT_number 12
_space_group_name_Hall '-C 2y'
_cell_length_a 5.676
_cell_length_b 10.688
_cell_length_c 3.185
_cell_angle_alpha 90.00
_cell_angle_beta 118.94
_cell_angle_gamma 90.00
loop_
_atom_site_label
_atom_site_fract_x
_atom_site_fract_y
_atom_site_fract_z
_atom_site_occupancy
Y1 0.000 0.000 0.000 1
Mg1 0.250 0.250 0.500 1
Rh1 0.000 0.500 0.000 1
# * E_form: -0.13 eV per atom
# * V: 21.1 Å³/atom
# * D(E_F): 5.8 states/eV per cell


(8)
# TaCoSb2, optimized geometry, DFT GGA-PBE
data_TaCoSb2
_chemical_formula_sum 'Ta1 Co1 Sb2'
_space_group_name_H-M_alt 'P 4 m m'
_space_group_IT_number 99
_space_group_name_Hall 'P 4 -2'
_cell_length_a 3.116
_cell_length_b 3.116
_cell_length_c 8.890
_cell_angle_alpha 90.00
_cell_angle_beta 90.00
_cell_angle_gamma 90.00
loop_
_atom_site_label
_atom_site_fract_x
_atom_site_fract_y
_atom_site_fract_z
_atom_site_occupancy
Ta1 0.000 0.000 0.000 1
Co1 0.500 0.500 0.152 1
Sb1 0.000 0.000 0.344 1
Sb2 0.500 0.500 0.755 1
# * formation energy (no corrections): 0.011 eV/atom
# * V: 21.6 Å³/atom
# * D(E_F): 3.1 states/eV per cell


For each record above, in turn, the calculated M_tot values are 1.1, 0.0, 0.0, 0.0, 1.4, 9.8, 0.0, 0.0 μB/f.u..